Material: Li3TmIn2
Method: DFT, PBE
State: relaxed

Cell lengths 7.4193, 7.4193, 9.1644 Å; angles 119.16, 119.16, 36.01 degrees
Sites, in units of the cell vectors:
Li (0.0465, 0.0465, 0.3843)
Li (0.2607, 0.2607, 0.4300)
Li (0.4111, 0.4111, 0.3110)
Li (0.5889, 0.5889, 0.6890)
Li (0.7393, 0.7393, 0.5700)
Li (0.9535, 0.9535, 0.6157)
Tm (0.1348, 0.1348, 0.0086)
Tm (0.8652, 0.8652, 0.9914)
In (0.2091, 0.2091, 0.7376)
In (0.4377, 0.4377, 0.8024)
In (0.5623, 0.5623, 0.1976)
In (0.7909, 0.7909, 0.2624)

Output
* space-group type: C2/m, No. 12
* spin magnetization: 0.0 μB per cell
* crystal system: monoclinic


Material: LiTm3In3
Method: DFT, PBE
State: relaxed

Cell lengths 6.0269, 6.0269, 14.6485 Å; angles 106.84, 106.84, 45.16 degrees
Sites, in units of the cell vectors:
Li (0.2424, 0.2424, 0.3968)
Li (0.7576, 0.7576, 0.6032)
Tm (0.2653, 0.2653, 0.7811)
Tm (0.4068, 0.4068, 0.0832)
Tm (0.4614, 0.4614, 0.6145)
Tm (0.5386, 0.5386, 0.3855)
Tm (0.5932, 0.5932, 0.9168)
Tm (0.7347, 0.7347, 0.2189)
In (0.0268, 0.0268, 0.2382)
In (0.1237, 0.1237, 0.0717)
In (0.1357, 0.1357, 0.5545)
In (0.8643, 0.8643, 0.4455)
In (0.8763, 0.8763, 0.9283)
In (0.9732, 0.9732, 0.7618)

Output
* space-group type: C2/m, No. 12
* spin magnetization: 0.0 μB per cell
* crystal system: monoclinic


Material: LiTmIn
Method: DFT, PBE
State: relaxed

Cell lengths 4.9108, 4.9108, 3.3335 Å; angles 90.00, 90.00, 120.00 degrees
Sites, in units of the cell vectors:
Li (0.0000, 0.0000, 0.0000)
Tm (0.6667, 0.3333, 0.5000)
In (0.3333, 0.6667, 0.0000)

Output
* space-group type: P-6m2, No. 187
* spin magnetization: 0.0 μB per cell
* crystal system: hexagonal


Computed values of ΔH_f (0 K) (unit: eV per atom) for the preceding records, in sequence: -0.284 -0.336 -0.311.
Computed values of uncorrected energy (unit: eV/f.u.) for the preceding records, in sequence: -17.39 -25.90 -10.06.